# PBEsol HgOs2Ru, optimized geometry
data_HgOs2Ru
_chemical_formula_sum 'Hg3 Os6 Ru3'
_symmetry_space_group_name_H-M 'R -3 m'
_symmetry_Int_Tables_number 166
_symmetry_space_group_name_Hall '-R 3 2"'
_cell_length_a 2.7539
_cell_length_b 2.7539
_cell_length_c 27.6010
_cell_angle_alpha 90.00
_cell_angle_beta 90.00
_cell_angle_gamma 120.00
loop_
_atom_site_label
_atom_site_fract_x
_atom_site_fract_y
_atom_site_fract_z
_atom_site_occupancy
Hg1 0.0000 0.0000 0.0000 1
Os1 0.0000 0.0000 0.2429 1
Ru1 0.0000 0.0000 0.5000 1
# Raw total energy: -8.3467 eV/atom
# Energy relative to the elements: 0.4460 eV/atom

---

# PBEsol CaZrIn2, optimized geometry
data_CaZrIn2
_chemical_formula_sum 'Ca1 Zr1 In2'
_symmetry_space_group_name_H-M 'P m m m'
_symmetry_Int_Tables_number 47
_cell_length_a 3.2312
_cell_length_b 4.2564
_cell_length_c 6.8333
_cell_angle_alpha 90.00
_cell_angle_beta 90.00
_cell_angle_gamma 90.00
loop_
_symmetry_equiv_pos_as_xyz
'x,y,z'
'-x,-y,-z'
'-x,-y,z'
'x,y,-z'
'x,-y,-z'
'-x,y,z'
'-x,y,-z'
'x,-y,z'
loop_
_atom_site_label
_atom_site_fract_x
_atom_site_fract_y
_atom_site_fract_z
_atom_site_occupancy
Ca1 0.0000 0.0000 0.0000 1
Zr1 0.0000 0.0000 0.5000 1
In1 0.5000 0.5000 0.2705 1
# Raw total energy: -4.6711 eV/atom
# Energy relative to the elements: -0.3739 eV/atom

---

# PBEsol SrZrCl2, optimized geometry
data_SrZrCl2
_chemical_formula_sum 'Sr2 Zr2 Cl4'
_symmetry_space_group_name_H-M 'A m m 2'
_symmetry_Int_Tables_number 38
_cell_length_a 5.0097
_cell_length_b 3.4402
_cell_length_c 10.2680
_cell_angle_alpha 90.00
_cell_angle_beta 90.00
_cell_angle_gamma 90.00
loop_
_symmetry_equiv_pos_as_xyz
'x,y,z'
'-x,-y,z'
'-x,y,z'
'x,-y,z'
'x,y+1/2,z+1/2'
'-x,-y+1/2,z+1/2'
'-x,y+1/2,z+1/2'
'x,-y+1/2,z+1/2'
loop_
_atom_site_label
_atom_site_fract_x
_atom_site_fract_y
_atom_site_fract_z
_atom_site_occupancy
Sr1 0.0000 0.0000 0.0000 1
Zr1 0.5000 0.0000 0.6940 1
Cl1 0.0000 0.0000 0.7228 1
Cl2 0.5000 0.0000 0.4086 1
# Raw total energy: -4.7617 eV/atom
# E_form (uncorrected): -4.1 eV per formula unit
# Distance to the lowest polymorph of the same formula: 0.166 eV/atom

---

# PBEsol LiAlTe2N, optimized geometry
data_LiAlTe2N
_chemical_formula_sum 'Li1 Al1 Te2 N1'
_symmetry_space_group_name_H-M 'P 4/m m m'
_symmetry_Int_Tables_number 123
_symmetry_space_group_name_Hall '-P 4 2'
_cell_length_a 5.6871
_cell_length_b 5.6871
_cell_length_c 3.4249
_cell_angle_alpha 90.00
_cell_angle_beta 90.00
_cell_angle_gamma 90.00
loop_
_atom_site_label
_atom_site_fract_x
_atom_site_fract_y
_atom_site_fract_z
_atom_site_occupancy
Li1 0.0000 0.0000 0.0000 1
Al1 0.5000 0.5000 0.5000 1
Te1 0.0000 0.5000 0.5000 1
N1 0.5000 0.5000 0.0000 1
# Raw total energy: -4.3864 eV/atom
# E_form (uncorrected): -0.3 eV per formula unit